# LiMgZnSn

A relaxed structure of LiMgZnSn (GGA-PBE, the Alexandria database).

Properties
Mass density   4.66 g cm⁻³
Total moment   0.0 μB per formula unit
DFT formation energy   -0.20 eV/atom
Total energy   -0.1760 Ry/atom

The structure in CIF format:
```
data_LiMgZnSn
_space_group_name_H-M_alt 'P m m m'
_space_group_IT_number 47
_space_group_name_Hall '-P 2 2'
_cell_length_a 4.1330
_cell_length_b 4.3008
_cell_length_c 4.3185
_cell_angle_alpha 90.00
_cell_angle_beta 90.00
_cell_angle_gamma 90.00
loop_
_atom_site_label
_atom_site_type_symbol
_atom_site_fract_x
_atom_site_fract_y
_atom_site_fract_z
_atom_site_occupancy
Li1 Li 0.0000 0.0000 0.0000 1
Mg1 Mg 0.5000 0.0000 0.5000 1
Zn1 Zn 0.0000 0.5000 0.5000 1
Sn1 Sn 0.5000 0.5000 0.0000 1
```

# SrLi2Mg

A relaxed structure of SrLi2Mg (GGA-PBE, the Alexandria database).

Properties
Mass density   1.60 g cm⁻³
Total moment   0.0 μB per formula unit
DFT formation energy   0.18 eV/atom
Total energy   -0.1172 Ry/atom
Energy relative to the lowest polymorph listed for this composition   214 meV per atom

The structure in CIF format:
```
data_SrLi2Mg
_space_group_name_H-M_alt 'I -4 2 d'
_space_group_IT_number 122
_space_group_name_Hall 'I -4 2bw'
_cell_length_a 4.8781
_cell_length_b 4.8781
_cell_length_c 21.9829
_cell_angle_alpha 90.00
_cell_angle_beta 90.00
_cell_angle_gamma 90.00
loop_
_atom_site_label
_atom_site_type_symbol
_atom_site_fract_x
_atom_site_fract_y
_atom_site_fract_z
_atom_site_occupancy
Sr1 Sr 0.0000 0.0000 0.0000 1
Li1 Li 0.1407 0.2500 0.6250 1
Mg1 Mg 0.0000 0.0000 0.5000 1
```

# Sr2Li2Mg3

A relaxed structure of Sr2Li2Mg3 (GGA-PBE, the Alexandria database).

Properties
Mass density   2.06 g cm⁻³
Total moment   0.0 μB per formula unit
DFT formation energy   -0.05 eV/atom
Total energy   -0.1291 Ry/atom

The structure in CIF format:
```
data_Sr2Li2Mg3
_space_group_name_H-M_alt 'C 1 2/m 1'
_space_group_IT_number 12
_space_group_name_Hall '-C 2y'
_cell_length_a 11.5538
_cell_length_b 4.8586
_cell_length_c 8.2896
_cell_angle_alpha 90.00
_cell_angle_beta 114.91
_cell_angle_gamma 90.00
loop_
_atom_site_label
_atom_site_type_symbol
_atom_site_fract_x
_atom_site_fract_y
_atom_site_fract_z
_atom_site_occupancy
Sr1 Sr 0.1358 0.0000 0.2641 1
Li1 Li 0.1375 0.0000 0.7025 1
Mg1 Mg 0.0000 0.5000 0.5000 1
Mg2 Mg 0.1380 0.5000 0.9314 1
```